Record 1
Entry from Alexandria: a relaxed structure of ZrSO (GGA-PBE).

a = 3.646 Å, b = 3.646 Å, c = 3.880 Å
α = 90.00°, β = 90.00°, γ = 120.00°
Positions (direct):
Zr 0.000 0.000 0.000
S 0.667 0.333 0.500
O 0.333 0.667 0.000

## Properties
- calculated volume (Å³/f.u.) = 44.68
- theoretical density (g/cm3) = 5.2
- E_form (uncorrected) (eV per atom) = -2.25
- SG = No. 187
- excess energy over the best structure of this formula in the dataset (eV per formula unit) = 0.59

Record 2
Entry from Alexandria: a relaxed structure of BaOsRu2Cl (GGA-PBE).

a = 4.445 Å, b = 4.445 Å, c = 5.554 Å
α = 90.00°, β = 90.00°, γ = 90.00°
Positions (direct):
Ba 0.000 0.000 0.000
Os 0.500 0.500 0.000
Ru 0.000 0.500 0.500
Ru 0.500 0.000 0.500
Cl 0.000 0.000 0.500

## Properties
- calculated volume (Å³/f.u.) = 109.73
- theoretical density (g/cm3) = 8.6
- E_form (uncorrected) (eV per atom) = 1.49
- SG = No. 123

Record 3
Entry from Alexandria: a relaxed structure of SrRuCl2 (GGA-PBE).

a = 6.861 Å, b = 7.577 Å, c = 7.915 Å
α = 90.00°, β = 90.00°, γ = 90.00°
Positions (direct):
Sr 0.000 0.000 0.000
Sr 0.000 0.500 0.500
Sr 0.500 0.000 0.500
Sr 0.500 0.500 0.000
Ru 0.000 0.000 0.500
Ru 0.000 0.500 0.000
Ru 0.500 0.000 0.000
Ru 0.500 0.500 0.500
Cl 0.000 0.250 0.250
Cl 0.000 0.250 0.750
Cl 0.000 0.750 0.250
Cl 0.000 0.750 0.750
Cl 0.500 0.250 0.250
Cl 0.500 0.250 0.750
Cl 0.500 0.750 0.250
Cl 0.500 0.750 0.750

## Properties
- calculated volume (Å³/f.u.) = 102.86
- theoretical density (g/cm3) = 4.2
- E_form (uncorrected) (eV per atom) = -0.47
- SG = No. 69
- excess energy over the best structure of this formula in the dataset (eV per formula unit) = 1.09

Record 4
Entry from Alexandria: a relaxed structure of Ni2OsAu (GGA-PBE).

a = 2.715 Å, b = 4.708 Å, c = 8.863 Å
α = 90.00°, β = 90.00°, γ = 90.00°
Positions (direct):
Ni 0.000 0.000 0.239
Ni 0.000 0.000 0.761
Ni 0.500 0.500 0.261
Ni 0.500 0.500 0.739
Os 0.000 0.500 0.500
Os 0.500 0.000 0.000
Au 0.000 0.500 0.000
Au 0.500 0.000 0.500

## Properties
- formation energy from the elements (eV/atom) = 0.4695
- calculated volume (Å³/f.u.) = 56.63
- theoretical density (g/cm3) = 14.8
- SG = No. 71
- excess energy over the best structure of this formula in the dataset (eV per formula unit) = 1.34

Record 5
Entry from Alexandria: a relaxed structure of Dy2YEr (GGA-PBE).

a = 3.542 Å, b = 3.542 Å, c = 34.625 Å
α = 90.00°, β = 90.00°, γ = 120.00°
Positions (direct):
Dy 0.000 0.000 0.249
Dy 0.000 0.000 0.751
Dy 0.333 0.667 0.417
Dy 0.333 0.667 0.916
Dy 0.667 0.333 0.084
Dy 0.667 0.333 0.583
Y 0.000 0.000 0.000
Y 0.333 0.667 0.667
Y 0.667 0.333 0.333
Er 0.000 0.000 0.500
Er 0.333 0.667 0.167
Er 0.667 0.333 0.833

## Properties
- formation energy from the elements (eV/atom) = 0.0220
- calculated volume (Å³/f.u.) = 125.38
- theoretical density (g/cm3) = 7.7
- SG = No. 166
- excess energy over the best structure of this formula in the dataset (eV per formula unit) = 0.05

Record 6
Entry from Alexandria: a relaxed structure of DyTmGa4 (GGA-PBE).

a = 4.206 Å, b = 4.206 Å, c = 8.098 Å
α = 90.00°, β = 90.00°, γ = 120.00°
Positions (direct):
Dy 0.000 0.000 0.000
Tm 0.000 0.000 0.500
Ga 0.333 0.667 0.253
Ga 0.333 0.667 0.747
Ga 0.667 0.333 0.253
Ga 0.667 0.333 0.747

## Properties
- formation energy from the elements (eV/atom) = -0.6167
- calculated volume (Å³/f.u.) = 124.09
- theoretical density (g/cm3) = 8.2
- SG = No. 191
- excess energy over the best structure of this formula in the dataset (eV per formula unit) = 0.01

Record 7
Entry from Alexandria: a relaxed structure of YLu2Ag (GGA-PBE).

a = 3.506 Å, b = 3.506 Å, c = 8.772 Å
α = 90.00°, β = 90.00°, γ = 90.00°
Positions (direct):
Y 0.000 0.000 0.000
Lu 0.500 0.500 0.289
Lu 0.500 0.500 0.711
Ag 0.000 0.000 0.500

## Properties
- formation energy from the elements (eV/atom) = -0.1384
- calculated volume (Å³/f.u.) = 107.84
- theoretical density (g/cm3) = 8.4
- SG = No. 123
- excess energy over the best structure of this formula in the dataset (eV per formula unit) = 0.00

Record 8
Entry from Alexandria: a relaxed structure of ZrBeHgC2 (GGA-PBE).

a = 4.200 Å, b = 4.200 Å, c = 5.925 Å
α = 90.00°, β = 90.00°, γ = 90.00°
Positions (direct):
Zr 0.000 0.000 0.000
Be 0.500 0.500 0.500
Hg 0.000 0.000 0.500
C 0.000 0.500 0.000
C 0.500 0.000 0.000

## Properties
- formation energy from the elements (eV/atom) = 1.9708
- calculated volume (Å³/f.u.) = 104.50
- theoretical density (g/cm3) = 5.2
- SG = No. 123

Record 9
Entry from Alexandria: a relaxed structure of Sr2Al4Cd3Ga (GGA-PBE).

a = 4.508 Å, b = 4.508 Å, c = 11.730 Å
α = 90.00°, β = 90.00°, γ = 90.00°
Positions (direct):
Sr 0.000 0.500 0.241
Sr 0.500 0.000 0.759
Al 0.000 0.000 0.500
Al 0.000 0.500 0.869
Al 0.500 0.000 0.131
Al 0.500 0.500 0.500
Cd 0.000 0.000 0.000
Cd 0.000 0.500 0.641
Cd 0.500 0.000 0.359
Ga 0.500 0.500 0.000

## Properties
- formation energy from the elements (eV/atom) = -0.2174
- calculated volume (Å³/f.u.) = 238.41
- theoretical density (g/cm3) = 4.8
- SG = No. 115

Record 10
Entry from Alexandria: a relaxed structure of Sm12Y5Ho2 (GGA-PBE).

a = 6.892 Å, b = 9.058 Å, c = 11.098 Å
α = 108.06°, β = 93.51°, γ = 102.52°
Positions (direct):
Sm 0.012 0.127 0.420
Sm 0.043 0.081 0.899
Sm 0.130 0.728 0.278
Sm 0.360 0.249 0.229
Sm 0.373 0.344 0.708
Sm 0.475 0.885 0.108
Sm 0.525 0.115 0.892
Sm 0.627 0.656 0.292
Sm 0.640 0.751 0.771
Sm 0.870 0.272 0.722
Sm 0.957 0.919 0.101
Sm 0.988 0.873 0.580
Y 0.123 0.686 0.807
Y 0.247 0.470 0.019
Y 0.500 0.000 0.500
Y 0.753 0.530 0.981
Y 0.877 0.314 0.193
Ho 0.264 0.552 0.493
Ho 0.736 0.448 0.507

## Properties
- formation energy from the elements (eV/atom) = 0.1012
- calculated volume (Å³/f.u.) = 636.88
- theoretical density (g/cm3) = 6.7
- SG = No. 2

Record 11
Entry from Alexandria: a relaxed structure of P2IrRuO (GGA-PBE).

a = 4.693 Å, b = 4.693 Å, c = 3.545 Å
α = 90.00°, β = 90.00°, γ = 90.00°
Positions (direct):
P 0.000 0.500 0.000
P 0.500 0.000 0.000
Ir 0.000 0.000 0.500
Ru 0.500 0.500 0.000
O 0.500 0.500 0.500

## Properties
- calculated volume (Å³/f.u.) = 78.07
- theoretical density (g/cm3) = 7.9
- E_form (uncorrected) (eV per atom) = 0.46
- SG = No. 123
- excess energy over the best structure of this formula in the dataset (eV per formula unit) = 0.00

Record 12
Entry from Alexandria: a relaxed structure of Na2In2Cu (GGA-PBE).

a = 7.182 Å, b = 7.182 Å, c = 4.935 Å
α = 90.00°, β = 90.00°, γ = 90.00°
Positions (direct):
Na 0.145 0.355 0.000
Na 0.355 0.855 0.000
Na 0.645 0.145 0.000
Na 0.855 0.645 0.000
In 0.168 0.668 0.500
In 0.332 0.168 0.500
In 0.668 0.832 0.500
In 0.832 0.332 0.500
Cu 0.000 0.000 0.000
Cu 0.500 0.500 0.000

## Properties
- formation energy from the elements (eV/atom) = 0.2772
- calculated volume (Å³/f.u.) = 127.28
- theoretical density (g/cm3) = 4.4
- SG = No. 127
- excess energy over the best structure of this formula in the dataset (eV per formula unit) = 1.25

Record 13
Entry from Alexandria: a relaxed structure of SrF6 (GGA-PBE).

a = 6.073 Å, b = 6.073 Å, c = 6.073 Å
α = 90.00°, β = 90.00°, γ = 90.00°
Positions (direct):
Sr 0.000 0.000 0.000
Sr 0.500 0.500 0.500
F 0.000 0.250 0.500
F 0.000 0.500 0.250
F 0.000 0.500 0.750
F 0.000 0.750 0.500
F 0.250 0.000 0.500
F 0.250 0.500 0.000
F 0.500 0.000 0.250
F 0.500 0.000 0.750
F 0.500 0.250 0.000
F 0.500 0.750 0.000
F 0.750 0.000 0.500
F 0.750 0.500 0.000

## Properties
- calculated volume (Å³/f.u.) = 112.01
- theoretical density (g/cm3) = 3.0
- E_form (uncorrected) (eV per atom) = -0.98
- SG = No. 229

Record 14
Entry from Alexandria: a relaxed structure of Rb2ZrMnFe (GGA-PBE).

a = 6.888 Å, b = 6.888 Å, c = 4.653 Å
α = 90.00°, β = 90.00°, γ = 90.00°
Positions (direct):
Rb 0.000 0.500 0.000
Rb 0.500 0.000 0.000
Zr 0.000 0.000 0.000
Mn 0.000 0.000 0.500
Fe 0.500 0.500 0.500

## Properties
- formation energy from the elements (eV/atom) = 1.7347
- calculated volume (Å³/f.u.) = 220.76
- theoretical density (g/cm3) = 2.8
- SG = No. 123

Record 15
Entry from Alexandria: a relaxed structure of RbRu2Cl2 (GGA-PBE).

a = 3.573 Å, b = 3.573 Å, c = 17.743 Å
α = 90.00°, β = 90.00°, γ = 90.00°
Positions (direct):
Rb 0.000 0.000 0.000
Rb 0.500 0.500 0.500
Ru 0.000 0.500 0.250
Ru 0.000 0.500 0.750
Ru 0.500 0.000 0.250
Ru 0.500 0.000 0.750
Cl 0.000 0.000 0.384
Cl 0.000 0.000 0.616
Cl 0.500 0.500 0.116
Cl 0.500 0.500 0.884

## Properties
- calculated volume (Å³/f.u.) = 113.26
- theoretical density (g/cm3) = 5.3
- E_form (uncorrected) (eV per atom) = 0.08
- SG = No. 139
- excess energy over the best structure of this formula in the dataset (eV per formula unit) = 0.00

Record 16
Entry from Alexandria: a relaxed structure of PuMnCd (GGA-PBE).

a = 3.171 Å, b = 3.171 Å, c = 12.227 Å
α = 90.00°, β = 90.00°, γ = 90.00°
Positions (direct):
Pu 0.000 0.000 0.000
Pu 0.500 0.500 0.500
Mn 0.000 0.000 0.355
Mn 0.500 0.500 0.855
Cd 0.000 0.000 0.708
Cd 0.500 0.500 0.208

## Properties
- formation energy from the elements (eV/atom) = 0.0774
- calculated volume (Å³/f.u.) = 61.46
- theoretical density (g/cm3) = 11.1
- SG = No. 107

Number 1: DOS(E_F) 0.01 states/eV per cell. Number 2: DOS(E_F) 6.84 states/eV per cell. Number 3: DOS(E_F) 15.45 states/eV per cell. Number 4: DOS(E_F) 9.67 states/eV per cell. Number 5: DOS(E_F) 17.71 states/eV per cell. Number 6: DOS(E_F) 3.17 states/eV per cell. Number 7: DOS(E_F) 4.89 states/eV per cell. Number 8: DOS(E_F) 3.76 states/eV per cell. Number 9: DOS(E_F) 4.77 states/eV per cell. Number 10: DOS(E_F) 29.49 states/eV per cell. Number 11: DOS(E_F) 3.38 states/eV per cell. Number 12: DOS(E_F) 4.89 states/eV per cell. Number 13: DOS(E_F) 13.01 states/eV per cell. Number 14: DOS(E_F) 8.13 states/eV per cell. Number 15: DOS(E_F) 8.81 states/eV per cell. Number 16: DOS(E_F) 9.11 states/eV per cell.